No. 1
Material: Pm6DyHo3Tm2
Method: DFT, PBE-GGA
State: relaxed

Cell lengths 6.2192, 6.2192, 11.7686 Å; angles 95.03, 95.03, 119.99 degrees
Last column: nearest neighbours and their distance in Å.
Sites, in units of the cell vectors:
Pm 0.9167 0.5830 0.7505  2 Tm 3.56, 1 Dy 3.56, 3 Ho 3.57, 6 Pm 3.59
Pm 0.7497 0.7497 0.2493  1 Dy 3.55, 2 Tm 3.56, 3 Ho 3.57, 6 Pm 3.59
Pm 0.0833 0.4170 0.2495  2 Tm 3.56, 1 Dy 3.56, 3 Ho 3.57, 6 Pm 3.59
Pm 0.5830 0.9167 0.7505  2 Tm 3.56, 1 Dy 3.56, 3 Ho 3.57, 6 Pm 3.59
Pm 0.2503 0.2503 0.7507  1 Dy 3.55, 2 Tm 3.56, 3 Ho 3.57, 6 Pm 3.59
Pm 0.4170 0.0833 0.2495  2 Tm 3.56, 1 Dy 3.56, 3 Ho 3.57, 6 Pm 3.59
Dy 0.0000 0.0000 0.0000  6 Pm 3.55-3.56, 6 Tm 3.59
Ho 0.1667 0.8333 0.5000  6 Pm 3.57, 6 Ho 3.59
Ho 0.8333 0.1667 0.5000  6 Pm 3.57, 6 Ho 3.59
Ho 0.5000 0.5000 0.5000  6 Pm 3.57, 6 Ho 3.59
Tm 0.3333 0.6667 0.0000  6 Pm 3.56, 3 Dy 3.59, 3 Tm 3.59
Tm 0.6667 0.3333 0.0000  6 Pm 3.56, 3 Dy 3.59, 3 Tm 3.59

Results
**ΔE_f**: 0.2 eV/f.u.
**Theoretical density**: 7.98 g/cm³
**Crystal system**: monoclinic

No. 2
Material: Pm6Dy3Ho2Tm
Method: DFT, PBE-GGA
State: relaxed

Cell lengths 6.2281, 6.2281, 11.8023 Å; angles 95.02, 95.02, 119.98 degrees
Last column: nearest neighbours and their distance in Å.
Sites, in units of the cell vectors:
Pm 0.9164 0.5834 0.7509  2 Ho 3.56, 1 Tm 3.56, 3 Dy 3.58, 6 Pm 3.59-3.60
Pm 0.7505 0.7505 0.2493  1 Tm 3.56, 2 Ho 3.57, 3 Dy 3.58, 6 Pm 3.59-3.60
Pm 0.0836 0.4166 0.2491  2 Ho 3.56, 1 Tm 3.56, 3 Dy 3.58, 6 Pm 3.59-3.60
Pm 0.5834 0.9164 0.7509  2 Ho 3.56, 1 Tm 3.56, 3 Dy 3.58, 6 Pm 3.59-3.60
Pm 0.2495 0.2495 0.7507  1 Tm 3.56, 2 Ho 3.57, 3 Dy 3.58, 6 Pm 3.59-3.60
Pm 0.4166 0.0836 0.2491  2 Ho 3.56, 1 Tm 3.56, 3 Dy 3.58, 6 Pm 3.59-3.60
Dy 0.1667 0.8333 0.5000  6 Pm 3.58, 6 Dy 3.60
Dy 0.8333 0.1667 0.5000  6 Pm 3.58, 6 Dy 3.60
Dy 0.5000 0.5000 0.5000  6 Pm 3.58, 6 Dy 3.60
Ho 0.3334 0.6666 0.0000  6 Pm 3.56-3.57, 3 Ho 3.59-3.60, 3 Tm 3.60
Ho 0.6666 0.3334 0.0000  6 Pm 3.56-3.57, 3 Ho 3.59-3.60, 3 Tm 3.60
Tm 0.0000 0.0000 0.0000  6 Pm 3.56, 6 Ho 3.60

Results
**ΔE_f**: 0.2 eV/f.u.
**Theoretical density**: 7.90 g/cm³
**Crystal system**: monoclinic

No. 3
Material: PmDy3HoTm
Method: DFT, PBE-GGA
State: relaxed

Cell lengths 5.0111, 7.9288, 10.0457 Å; angles 90.00, 90.00, 108.42 degrees
Last column: nearest neighbours and their distance in Å.
Sites, in units of the cell vectors:
Pm 0.4996 0.9992 0.7500  4 Ho 3.55, 6 Dy 3.55-3.56, 2 Tm 3.55
Pm 0.5004 0.0008 0.2500  4 Ho 3.55, 6 Dy 3.55-3.56, 2 Tm 3.55
Dy 0.6670 0.3340 0.5002  5 Dy 3.53-3.55, 3 Tm 3.53-3.55, 2 Ho 3.55, 2 Pm 3.55-3.56
Dy 0.3330 0.6660 0.4998  5 Dy 3.53-3.55, 3 Tm 3.53-3.55, 2 Ho 3.55, 2 Pm 3.55-3.56
Dy 0.3330 0.6660 0.0002  5 Dy 3.53-3.55, 3 Tm 3.53-3.55, 2 Ho 3.55, 2 Pm 3.55-3.56
Dy 0.6670 0.3340 0.9998  5 Dy 3.53-3.55, 3 Tm 3.53-3.55, 2 Ho 3.55, 2 Pm 3.55-3.56
Dy 0.1679 0.3358 0.7500  2 Tm 3.52, 6 Dy 3.53-3.55, 2 Pm 3.56, 2 Ho 3.56
Dy 0.8321 0.6642 0.2500  2 Tm 3.52, 6 Dy 3.53-3.55, 2 Pm 3.56, 2 Ho 3.56
Ho 0.0000 0.0000 0.5000  4 Pm 3.55, 6 Dy 3.55-3.56, 2 Tm 3.56
Ho 0.0000 0.0000 0.0000  4 Pm 3.55, 6 Dy 3.55-3.56, 2 Tm 3.56
Tm 0.8325 0.6649 0.7500  8 Dy 3.52-3.55, 2 Pm 3.55, 2 Ho 3.56
Tm 0.1675 0.3351 0.2500  8 Dy 3.52-3.55, 2 Pm 3.55, 2 Ho 3.56

Results
**ΔE_f**: 0.1 eV/f.u.
**Theoretical density**: 8.48 g/cm³
**Crystal system**: orthorhombic

No. 4
Material: PmDyHo6Tm2
Method: DFT, PBE-GGA
State: relaxed

Cell lengths 9.4386, 8.7240, 8.7240 Å; angles 117.41, 93.41, 93.41 degrees
Last column: nearest neighbours and their distance in Å.
Sites, in units of the cell vectors:
Pm 0.2500 0.9724 0.0276  4 Tm 3.36-3.43, 4 Ho 3.54-3.66
Pm 0.7500 0.0276 0.9724  4 Tm 3.36-3.43, 4 Ho 3.54-3.66
Dy 0.2500 0.4097 0.5903  6 Ho 3.39-3.49, 2 Tm 3.50
Dy 0.7500 0.5903 0.4097  6 Ho 3.39-3.49, 2 Tm 3.50
Ho 0.0567 0.1215 0.7530  7 Ho 3.38-3.70, 1 Tm 3.47, 1 Pm 3.66
Ho 0.4433 0.2470 0.8785  7 Ho 3.38-3.70, 1 Tm 3.47, 1 Pm 3.66
Ho 0.9433 0.8785 0.2470  7 Ho 3.38-3.70, 1 Tm 3.47, 1 Pm 3.66
Ho 0.5567 0.7530 0.1215  7 Ho 3.38-3.70, 1 Tm 3.47, 1 Pm 3.66
Ho 0.3180 0.9829 0.4358  3 Ho 3.18-3.54, 2 Tm 3.37-3.54, 1 Dy 3.44, 1 Pm 3.54
Ho 0.1820 0.5642 0.0171  3 Ho 3.18-3.54, 2 Tm 3.37-3.54, 1 Dy 3.44, 1 Pm 3.54
Ho 0.6820 0.0171 0.5642  3 Ho 3.18-3.54, 2 Tm 3.37-3.54, 1 Dy 3.44, 1 Pm 3.54
Ho 0.8180 0.4358 0.9829  3 Ho 3.18-3.54, 2 Tm 3.37-3.54, 1 Dy 3.44, 1 Pm 3.54
Ho 0.1175 0.7081 0.4890  4 Ho 3.18-3.48, 3 Tm 3.25-3.41, 2 Dy 3.39-3.49
Ho 0.3825 0.5110 0.2919  4 Ho 3.18-3.48, 3 Tm 3.25-3.41, 2 Dy 3.39-3.49
Ho 0.8825 0.2919 0.5110  4 Ho 3.18-3.48, 3 Tm 3.25-3.41, 2 Dy 3.39-3.49
Ho 0.6175 0.4890 0.7081  4 Ho 3.18-3.48, 3 Tm 3.25-3.41, 2 Dy 3.39-3.49
Tm 0.4527 0.8011 0.6961  6 Ho 3.25-3.54, 2 Pm 3.36-3.43, 1 Dy 3.50
Tm 0.0473 0.3039 0.1989  6 Ho 3.25-3.54, 2 Pm 3.36-3.43, 1 Dy 3.50
Tm 0.5473 0.1989 0.3039  6 Ho 3.25-3.54, 2 Pm 3.36-3.43, 1 Dy 3.50
Tm 0.9527 0.6961 0.8011  6 Ho 3.25-3.54, 2 Pm 3.36-3.43, 1 Dy 3.50

Results
**ΔE_f**: 1.2 eV/f.u.
**Theoretical density**: 8.57 g/cm³
**Crystal system**: monoclinic

No. 5
Material: PmDy2Ho5Tm
Method: DFT, PBE-GGA
State: relaxed

Cell lengths 8.9532, 8.9532, 9.6140 Å; angles 117.75, 117.75, 90.00 degrees
Last column: nearest neighbours and their distance in Å.
Sites, in units of the cell vectors:
Pm 0.2500 0.2500 0.5000  10 Ho 3.62-3.64
Pm 0.7500 0.7500 0.5000  10 Ho 3.62-3.64
Dy 0.1119 0.3881 0.0000  1 Dy 2.83, 2 Ho 3.00
Dy 0.6119 0.1119 0.0000  1 Dy 2.83, 2 Ho 3.00
Dy 0.3881 0.8881 0.0000  1 Dy 2.83, 2 Ho 3.00
Dy 0.8881 0.6119 0.0000  1 Dy 2.83, 2 Ho 3.00
Ho 0.9266 0.4266 0.2635  1 Dy 3.00, 1 Tm 3.11
Ho 0.6631 0.1631 0.7365  1 Dy 3.00, 1 Tm 3.11
Ho 0.0734 0.5734 0.7365  1 Dy 3.00, 1 Tm 3.11
Ho 0.1631 0.0734 0.7365  1 Dy 3.00, 1 Tm 3.11
Ho 0.5734 0.6631 0.7365  1 Dy 3.00, 1 Tm 3.11
Ho 0.8369 0.9266 0.2635  1 Dy 3.00, 1 Tm 3.11
Ho 0.4266 0.3369 0.2635  1 Dy 3.00, 1 Tm 3.11
Ho 0.3369 0.8369 0.2635  1 Dy 3.00, 1 Tm 3.11
Ho 0.5000 0.5000 0.0000  4 Dy 3.62, 2 Pm 3.62, 8 Ho 3.74
Ho 0.0000 0.0000 0.0000  4 Dy 3.62, 2 Pm 3.62, 8 Ho 3.74
Tm 0.2500 0.7500 0.5000  4 Ho 3.11
Tm 0.7500 0.2500 0.5000  4 Ho 3.11

Results
**ΔE_f**: 2.7 eV/f.u.
**Theoretical density**: 8.38 g/cm³
**Crystal system**: tetragonal

No. 6
Material: Pm3Dy6Ho2Tm
Method: DFT, PBE-GGA
State: relaxed

Cell lengths 6.1691, 6.1691, 11.7904 Å; angles 94.98, 94.98, 119.97 degrees
Last column: nearest neighbours and their distance in Å.
Sites, in units of the cell vectors:
Pm 0.1666 0.8334 0.5000  6 Pm 3.56, 6 Dy 3.59
Pm 0.8334 0.1666 0.5000  6 Pm 3.56, 6 Dy 3.59
Pm 0.5000 0.5000 0.5000  6 Pm 3.56, 6 Dy 3.59
Dy 0.9177 0.5846 0.7538  2 Ho 3.52, 1 Tm 3.52, 6 Dy 3.56, 3 Pm 3.59
Dy 0.7492 0.7492 0.2463  1 Tm 3.52, 2 Ho 3.52, 6 Dy 3.56, 3 Pm 3.59
Dy 0.0823 0.4154 0.2462  2 Ho 3.52, 1 Tm 3.52, 6 Dy 3.56, 3 Pm 3.59
Dy 0.5846 0.9177 0.7538  2 Ho 3.52, 1 Tm 3.52, 6 Dy 3.56, 3 Pm 3.59
Dy 0.2508 0.2508 0.7537  1 Tm 3.52, 2 Ho 3.52, 6 Dy 3.56, 3 Pm 3.59
Dy 0.4154 0.0823 0.2462  2 Ho 3.52, 1 Tm 3.52, 6 Dy 3.56, 3 Pm 3.59
Ho 0.3334 0.6666 0.0000  6 Dy 3.52, 3 Ho 3.56, 3 Tm 3.56
Ho 0.6666 0.3334 0.0000  6 Dy 3.52, 3 Ho 3.56, 3 Tm 3.56
Tm 0.0000 0.0000 0.0000  6 Dy 3.52, 6 Ho 3.56

Results
**ΔE_f**: 0.2 eV/f.u.
**Theoretical density**: 8.28 g/cm³
**Crystal system**: monoclinic